(1)
First-principles (GGA-PBE) data for a relaxed CdSnPd6 crystal, as listed in Alexandria.

Geometry as POSCAR:
```
CdSnPd6
1.0
5.147 0.000 0.000
-0.442 5.168 0.000
-0.423 -0.438 5.157
Cd Sn Pd
1 1 6
Direct
0.000 0.000 0.000
0.500 0.500 0.500
0.054 0.750 0.453
0.250 0.550 0.942
0.453 0.056 0.750
0.547 0.944 0.250
0.750 0.450 0.058
0.946 0.250 0.547
```

Results
E = -4.78 eV per atom
formation enthalpy at 0 K = -0.2683 eV per atom
crystal system = triclinic
M_tot = 0.0 μB per formula unit

---

(2)
First-principles (GGA-PBE) data for a relaxed Cd3SnPd6 crystal, as listed in Alexandria.

Geometry as POSCAR:
```
Cd3SnPd6
1.0
7.747 0.000 0.000
0.000 4.706 0.000
-3.714 0.000 9.419
Cd Sn Pd
6 2 12
Direct
0.025 0.250 0.409
0.151 0.750 0.181
0.253 0.250 0.024
0.747 0.750 0.976
0.849 0.250 0.819
0.975 0.750 0.591
0.434 0.250 0.631
0.566 0.750 0.369
0.063 0.750 0.885
0.144 0.250 0.722
0.269 0.750 0.479
0.347 0.250 0.333
0.362 0.750 0.783
0.459 0.750 0.081
0.541 0.250 0.919
0.638 0.250 0.217
0.653 0.750 0.667
0.731 0.250 0.521
0.856 0.750 0.278
0.937 0.250 0.115
```

Results
E = -4.19 eV per atom
formation enthalpy at 0 K = -0.3989 eV per atom
crystal system = monoclinic
M_tot = 0.0 μB per formula unit

---

(3)
First-principles (GGA-PBE) data for a relaxed Cd2Sn5Pd12 crystal, as listed in Alexandria.

Geometry as POSCAR:
```
Cd2Sn5Pd12
1.0
7.645 -2.793 0.000
7.645 2.793 0.000
-2.714 0.000 8.612
Cd Sn Pd
2 5 12
Direct
0.244 0.756 0.000
0.756 0.244 0.000
0.000 0.000 0.500
0.315 0.315 0.646
0.348 0.348 0.148
0.652 0.652 0.852
0.685 0.685 0.354
0.053 0.565 0.892
0.094 0.591 0.401
0.104 0.104 0.300
0.409 0.906 0.599
0.435 0.947 0.108
0.489 0.489 0.649
0.511 0.511 0.351
0.565 0.053 0.892
0.591 0.094 0.401
0.896 0.896 0.700
0.906 0.409 0.599
0.947 0.435 0.108
```

Results
E = -4.78 eV per atom
formation enthalpy at 0 K = -0.3495 eV per atom
crystal system = monoclinic
M_tot = 0.0 μB per formula unit

---

(4)
First-principles (GGA-PBE) data for a relaxed CdSn6Pd12 crystal, as listed in Alexandria.

Geometry as POSCAR:
```
CdSn6Pd12
1.0
6.046 3.490 2.748
-6.046 3.490 2.748
0.000 -6.981 2.748
Cd Sn Pd
1 6 12
Direct
0.000 0.000 0.000
0.095 0.475 0.216
0.216 0.095 0.475
0.475 0.216 0.095
0.525 0.784 0.905
0.784 0.905 0.525
0.905 0.525 0.784
0.106 0.274 0.833
0.167 0.894 0.726
0.181 0.478 0.593
0.274 0.833 0.106
0.407 0.819 0.522
0.478 0.593 0.181
0.522 0.407 0.819
0.593 0.181 0.478
0.726 0.167 0.894
0.819 0.522 0.407
0.833 0.106 0.274
0.894 0.726 0.167
```

Results
E = -5.02 eV per atom
formation enthalpy at 0 K = -0.4253 eV per atom
crystal system = trigonal
M_tot = 0.0 μB per formula unit

---

(5)
First-principles (GGA-PBE) data for a relaxed Cd2SnPd9 crystal, as listed in Alexandria.

Geometry as POSCAR:
```
Cd2SnPd9
1.0
4.047 0.000 0.000
0.000 4.047 0.000
0.000 0.000 12.014
Cd Sn Pd
2 1 9
Direct
0.000 0.000 0.167
0.000 0.000 0.833
0.000 0.000 0.500
0.000 0.500 0.000
0.000 0.500 0.336
0.000 0.500 0.664
0.500 0.000 0.000
0.500 0.000 0.336
0.500 0.000 0.664
0.500 0.500 0.168
0.500 0.500 0.500
0.500 0.500 0.832
```

Results
E = -4.70 eV per atom
formation enthalpy at 0 K = -0.3198 eV per atom
crystal system = tetragonal
M_tot = 0.0 μB per formula unit

---

(6)
First-principles (GGA-PBE) data for a relaxed CdSnPd14 crystal, as listed in Alexandria.

Geometry as POSCAR:
```
CdSnPd14
1.0
5.694 0.000 0.000
0.000 5.694 0.000
0.000 0.000 7.827
Cd Sn Pd
1 1 14
Direct
0.000 0.000 0.000
0.500 0.500 0.000
0.000 0.000 0.500
0.000 0.500 0.000
0.000 0.500 0.500
0.251 0.251 0.252
0.251 0.251 0.748
0.251 0.749 0.252
0.251 0.749 0.748
0.500 0.000 0.000
0.500 0.000 0.500
0.500 0.500 0.500
0.749 0.251 0.252
0.749 0.251 0.748
0.749 0.749 0.252
0.749 0.749 0.748
```

Results
E = -5.04 eV per atom
formation enthalpy at 0 K = -0.1839 eV per atom
crystal system = tetragonal
M_tot = 0.0 μB per formula unit

---

(7)
First-principles (GGA-PBE) data for a relaxed Cd2Sn3Pd8 crystal, as listed in Alexandria.

Geometry as POSCAR:
```
Cd2Sn3Pd8
1.0
2.708 1.563 9.830
-2.708 1.563 9.830
0.000 -3.127 9.830
Cd Sn Pd
2 3 8
Direct
0.130 0.130 0.130
0.870 0.870 0.870
0.309 0.309 0.309
0.500 0.500 0.500
0.691 0.691 0.691
0.220 0.220 0.220
0.220 0.220 0.719
0.220 0.719 0.220
0.281 0.780 0.780
0.719 0.220 0.220
0.780 0.281 0.780
0.780 0.780 0.281
0.780 0.780 0.780
```

Results
E = -4.46 eV per atom
formation enthalpy at 0 K = -0.1963 eV per atom
crystal system = trigonal
M_tot = 0.0 μB per formula unit

---

(8)
First-principles (GGA-PBE) data for a relaxed Cd4SnPd5 crystal, as listed in Alexandria.

Geometry as POSCAR:
```
Cd4SnPd5
1.0
3.313 0.000 0.000
0.000 3.313 0.000
0.000 0.000 16.187
Cd Sn Pd
4 1 5
Direct
0.000 0.000 0.099
0.000 0.000 0.296
0.000 0.000 0.704
0.000 0.000 0.901
0.000 0.000 0.500
0.500 0.500 0.000
0.500 0.500 0.197
0.500 0.500 0.401
0.500 0.500 0.599
0.500 0.500 0.803
```

Results
E = -3.77 eV per atom
formation enthalpy at 0 K = -0.4073 eV per atom
crystal system = tetragonal
M_tot = 0.0 μB per formula unit

---

(9)
First-principles (GGA-PBE) data for a relaxed CdSn2Pd8 crystal, as listed in Alexandria.

Geometry as POSCAR:
```
CdSn2Pd8
1.0
7.256 -2.067 0.000
7.256 2.067 0.000
-2.118 0.000 6.148
Cd Sn Pd
1 2 8
Direct
0.000 0.000 0.000
0.287 0.287 0.334
0.713 0.713 0.666
0.094 0.094 0.463
0.176 0.176 0.919
0.350 0.350 0.785
0.463 0.463 0.271
0.537 0.537 0.729
0.650 0.650 0.215
0.824 0.824 0.081
0.906 0.906 0.537
```

Results
E = -4.99 eV per atom
formation enthalpy at 0 K = -0.4009 eV per atom
crystal system = monoclinic
M_tot = 0.0 μB per formula unit

---

(10)
First-principles (GGA-PBE) data for a relaxed CdSnPd3 crystal, as listed in Alexandria.

Geometry as POSCAR:
```
CdSnPd3
1.0
7.316 0.000 0.000
0.000 7.389 0.000
0.000 0.000 6.812
Cd Sn Pd
4 4 12
Direct
0.000 0.000 0.000
0.000 0.500 0.000
0.500 0.000 0.500
0.500 0.500 0.500
0.160 0.250 0.417
0.340 0.750 0.917
0.660 0.250 0.083
0.840 0.750 0.583
0.138 0.750 0.279
0.147 0.553 0.640
0.147 0.947 0.640
0.353 0.053 0.140
0.353 0.447 0.140
0.362 0.250 0.779
0.638 0.750 0.221
0.647 0.553 0.860
0.647 0.947 0.860
0.853 0.053 0.360
0.853 0.447 0.360
0.862 0.250 0.721
```

Results
E = -4.45 eV per atom
formation enthalpy at 0 K = -0.3505 eV per atom
crystal system = orthorhombic
M_tot = 0.0 μB per formula unit

---

(11)
First-principles (GGA-PBE) data for a relaxed Cd2SnPd crystal, as listed in Alexandria.

Geometry as POSCAR:
```
Cd2SnPd
1.0
-4.209 4.209 2.666
4.209 -4.209 2.666
4.209 4.209 -2.666
Cd Sn Pd
4 2 2
Direct
0.072 0.625 0.947
0.375 0.322 0.447
0.678 0.125 0.053
0.875 0.928 0.553
0.250 0.750 0.500
0.500 0.500 0.000
0.000 0.000 0.000
0.750 0.250 0.500
```

Results
E = -2.79 eV per atom
formation enthalpy at 0 K = -0.0327 eV per atom
crystal system = tetragonal
M_tot = 0.0 μB per formula unit

---

(12)
First-principles (GGA-PBE) data for a relaxed Sr2CdSn4Pd3 crystal, as listed in Alexandria.

Geometry as POSCAR:
```
Sr2CdSn4Pd3
1.0
4.655 0.000 0.000
0.000 4.655 0.000
0.000 0.000 11.353
Sr Cd Sn Pd
2 1 4 3
Direct
0.000 0.500 0.249
0.500 0.000 0.751
0.000 0.000 0.500
0.000 0.000 0.000
0.000 0.500 0.641
0.500 0.000 0.359
0.500 0.500 0.000
0.000 0.500 0.875
0.500 0.000 0.125
0.500 0.500 0.500
```

Results
E = -4.21 eV per atom
formation enthalpy at 0 K = -0.6207 eV per atom
crystal system = tetragonal
M_tot = 0.0 μB per formula unit